No. 1
A relaxed structure of MgCu3Pd3. Source: Alexandria, functional PBE-GGA.

Geometry as POSCAR:
```
MgCu3Pd3
1.0
2.944 1.700 6.952
-2.944 1.700 6.952
0.000 -3.399 6.952
Mg Cu Pd
2 6 6
direct
0.195 0.195 0.195
0.805 0.805 0.805
0.092 0.567 0.260
0.260 0.092 0.567
0.433 0.740 0.908
0.567 0.260 0.092
0.740 0.908 0.433
0.908 0.433 0.740
0.227 0.750 0.340
0.250 0.660 0.773
0.340 0.227 0.750
0.660 0.773 0.250
0.750 0.340 0.227
0.773 0.250 0.660
```

Properties
ΔE to the lowest computed polymorph: 72.0 meV per atom
Calculated formation energy: -0.1201 eV/atom
Total magnetic moment: 0.00 μB/f.u.
Final energy: -60.604 eV/cell

No. 2
A relaxed structure of MgCu2Pd. Source: Alexandria, functional PBE-GGA.

Geometry as POSCAR:
```
MgCu2Pd
1.0
-1.814 1.814 9.341
1.814 -1.814 9.341
1.814 1.814 -9.341
Mg Cu Pd
2 4 2
direct
0.000 0.000 0.000
0.750 0.250 0.500
0.133 0.625 0.008
0.375 0.383 0.508
0.617 0.125 0.992
0.875 0.867 0.492
0.250 0.750 0.500
0.500 0.500 0.000
```

Properties
Calculated formation energy: -0.0283 eV/atom
Total magnetic moment: 0.00 μB/f.u.
Final energy: -30.186 eV/cell

No. 3
A relaxed structure of Mg4CuPd5. Source: Alexandria, functional PBE-GGA.

Geometry as POSCAR:
```
Mg4CuPd5
1.0
3.218 0.000 0.000
0.000 3.218 0.000
0.000 0.000 15.111
Mg Cu Pd
4 1 5
direct
0.000 0.000 0.103
0.000 0.000 0.309
0.000 0.000 0.691
0.000 0.000 0.897
0.000 0.000 0.500
0.500 0.500 0.000
0.500 0.500 0.205
0.500 0.500 0.407
0.500 0.500 0.593
0.500 0.500 0.795
```

Properties
Calculated formation energy: -0.6265 eV/atom
Total magnetic moment: 0.00 μB/f.u.
Final energy: -42.704 eV/cell